Entry 1:
The following is a DFT calculation (PBE-GGA) of a geometry-optimized Mn2BeHRu structure.

Total DFT energy (no corrections), eV per cell: -34.5
Relative energy among the computed polymorphs, meV per atom: 0.0

a = 3.590 Å, b = 3.590 Å, c = 3.837 Å
α = 90.00°, β = 90.00°, γ = 90.00°
Site moments in Bohr magnetons follow the coordinates.
Fractional coordinates of all 5 atoms:
Ru1 0.000 0.000 0.500  0.25
Mn1 0.000 0.500 0.000  2.23
Mn2 0.500 0.000 0.000  2.23
H1 0.000 0.000 0.000  -0.01
Be1 0.500 0.500 0.500  -0.07

***

Entry 2:
The following is a DFT calculation (PBE-GGA) of a geometry-optimized NbNiP2 structure.

Total DFT energy (no corrections), eV per cell: -54.6
Formation energy, eV/f.u.: -0.62

a = 5.533 Å, b = 5.533 Å, c = 6.245 Å
α = 63.71°, β = 63.71°, γ = 90.00°
Fractional coordinates of all 8 atoms:
Ni1 0.500 0.500 0.000
Ni2 0.250 0.750 0.500
Nb1 0.000 0.000 0.000
Nb2 0.750 0.250 0.500
P1 0.591 0.125 0.250
P2 0.159 0.625 0.250
P3 0.375 0.409 0.750
P4 0.875 0.841 0.750

***

The calculation returns the following spin magnetization values, one per record and in order: 0.945, 0.000 μB/atom.